w) VASP calculation (GGA-PBE) on a geometry-optimized RbAc2Co structure.

```
RbAc2Co
1.0
4.280 0.000 0.000
2.140 3.707 0.000
2.140 1.236 11.904
Rb Ac Co
1 2 1
Direct
0.000 0.000 0.000
0.124 0.124 0.627
0.876 0.876 0.373
0.500 0.500 0.500
```

Output
symmetry	No. 166
ρ	5.26	g cm⁻³


x) VASP calculation (GGA-PBE) on a geometry-optimized RbAc2Co structure.

```
RbAc2Co
1.0
-4.295 -0.260 -0.136
2.400 -2.985 -1.964
0.073 -6.033 9.242
Ac Co Rb
2 1 1
Direct
0.334 0.667 0.364
0.666 0.333 0.636
0.000 0.000 0.500
0.000 0.000 0.000
```

Output
symmetry	No. 164
ρ	5.61	g cm⁻³


Most favorable first, least favorable last: x), w)


w) VASP calculation (GGA-PBE) on a geometry-optimized Ac2CoRu structure.

```
Ac2CoRu
1.0
4.237 0.000 0.000
0.000 4.368 0.000
0.000 -2.184 5.934
Ac Co Ru
2 1 1
Direct
0.500 0.264 0.527
0.000 0.986 0.973
0.500 0.580 0.159
0.000 0.670 0.339
```

Output
symmetry	No. 38
ρ	9.28	g cm⁻³


x) VASP calculation (GGA-PBE) on a geometry-optimized Ac2CoRu structure.

```
Ac2CoRu
1.0
-1.194 1.986 2.830
-4.659 0.494 -2.312
-1.637 -4.360 2.368
Ru Ac Co
1 2 1
Direct
0.500 0.500 0.500
0.000 0.500 0.000
0.000 0.000 0.500
0.500 0.000 0.000
```

Output
symmetry	No. 123
ρ	10.21	g cm⁻³


y) VASP calculation (GGA-PBE) on a geometry-optimized Ac2CoRu structure.

```
Ac2CoRu
1.0
4.123 0.000 0.000
2.061 3.570 0.000
2.061 1.190 8.944
Ru Co Ac
1 1 2
Direct
0.500 0.500 0.500
0.000 0.000 0.000
0.896 0.896 0.311
0.104 0.104 0.689
```

Output
symmetry	No. 166
ρ	7.75	g cm⁻³


Most favorable first, least favorable last: w), x), y)


w) VASP calculation (GGA-PBE) on a geometry-optimized Ac2CoRu structure.

```
Ac2CoRu
1.0
-1.790 1.767 3.416
-0.889 -2.378 3.398
6.003 1.291 5.112
Ac Co Ru
2 1 1
Direct
0.890 0.652 0.569
0.716 0.479 0.090
0.470 0.234 0.826
0.135 0.897 0.833
```

Output
symmetry	No. 8
ρ	8.60	g cm⁻³


x) VASP calculation (GGA-PBE) on a geometry-optimized Ac2CoRu structure.

```
Ac2CoRu
1.0
5.213 0.000 0.000
2.607 4.515 0.000
2.607 1.505 4.257
Ru Ac Co
1 2 1
Direct
0.500 0.500 0.500
0.250 0.250 0.250
0.750 0.750 0.750
0.000 0.000 0.000
```

Output
symmetry	No. 225
ρ	10.18	g cm⁻³


Most favorable first, least favorable last: w), x)


w) VASP calculation (GGA-PBE) on a geometry-optimized AcCoRu structure.

```
AcCoRu
1.0
6.306 -1.074 -1.592
-3.705 5.214 1.592
-4.015 -0.365 5.214
Ru Ac Co
2 2 2
Direct
0.750 0.944 0.694
0.250 0.056 0.306
0.250 0.625 0.875
0.750 0.375 0.125
0.500 0.500 0.500
0.000 0.000 0.500
```

Output
symmetry	No. 74
ρ	10.22	g cm⁻³


x) VASP calculation (GGA-PBE) on a geometry-optimized AcCoRu structure.

```
AcCoRu
1.0
4.493 0.000 0.000
0.000 4.146 0.000
0.000 -2.073 3.590
Ru Co Ac
1 1 1
Direct
0.167 0.667 0.333
0.167 0.000 0.000
0.667 0.333 0.667
```

Output
symmetry	No. 187
ρ	9.61	g cm⁻³


Most favorable first, least favorable last: x), w)


w) VASP calculation (GGA-PBE) on a geometry-optimized AcCoSb2 structure.

```
AcCoSb2
1.0
-0.116 0.403 3.976
-0.244 -3.239 2.332
8.744 -1.394 2.406
Sb Ac Co
2 1 1
Direct
0.875 0.875 0.374
0.125 0.125 0.626
0.000 0.000 0.000
0.500 0.500 0.500
```

Output
symmetry	No. 166
ρ	7.15	g cm⁻³


x) VASP calculation (GGA-PBE) on a geometry-optimized AcCoSb2 structure.

```
AcCoSb2
1.0
3.580 0.000 0.000
0.000 3.580 0.000
0.000 0.000 7.657
Sb Co Ac
2 1 1
Direct
0.000 0.000 0.811
0.000 0.000 0.189
0.500 0.500 0.000
0.500 0.500 0.500
```

Output
symmetry	No. 123
ρ	8.96	g cm⁻³


Most favorable first, least favorable last: x), w)


w) VASP calculation (GGA-PBE) on a geometry-optimized Ac3CoSb structure.

```
Ac3CoSb
1.0
4.714 0.000 0.000
0.000 9.005 0.000
0.000 0.000 15.757
Ac Co Sb
12 4 4
Direct
0.250 0.296 0.789
0.750 0.204 0.289
0.750 0.968 0.899
0.750 0.846 0.495
0.750 0.704 0.211
0.250 0.654 0.995
0.750 0.346 0.005
0.250 0.154 0.505
0.250 0.532 0.399
0.750 0.468 0.601
0.250 0.796 0.711
0.250 0.032 0.101
0.750 0.832 0.060
0.750 0.332 0.440
0.250 0.668 0.560
0.250 0.168 0.940
0.750 0.579 0.822
0.250 0.421 0.178
0.750 0.079 0.678
0.250 0.921 0.322
```

Output
symmetry	No. 62
ρ	8.56	g cm⁻³


x) VASP calculation (GGA-PBE) on a geometry-optimized Ac3CoSb structure.

```
Ac3CoSb
1.0
-1.979 5.104 0.680
-5.136 -2.010 0.141
0.378 -0.583 5.473
Co Ac Sb
1 3 1
Direct
0.000 0.000 0.000
0.000 0.000 0.500
0.000 0.500 0.000
0.500 0.000 0.000
0.500 0.500 0.500
```

Output
symmetry	No. 221
ρ	8.52	g cm⁻³


Most favorable first, least favorable last: w), x)


w) VASP calculation (GGA-PBE) on a geometry-optimized Ac2CoSe structure.

```
Ac2CoSe
1.0
4.249 0.000 0.000
2.124 3.679 0.000
2.124 1.226 7.615
Se Co Ac
1 1 2
Direct
0.500 0.500 0.500
0.000 0.000 0.000
0.260 0.260 0.221
0.740 0.740 0.779
```

Output
symmetry	No. 166
ρ	8.26	g cm⁻³


x) VASP calculation (GGA-PBE) on a geometry-optimized Ac2CoSe structure.

```
Ac2CoSe
1.0
4.324 0.000 0.000
0.000 4.354 -0.773
0.000 0.027 12.798
Ac Co Se
4 2 2
Direct
0.750 0.684 0.367
0.250 0.316 0.633
0.250 0.064 0.127
0.750 0.936 0.873
0.750 0.517 0.034
0.250 0.483 0.966
0.250 0.192 0.384
0.750 0.808 0.616
```

Output
symmetry	No. 63
ρ	8.15	g cm⁻³


y) VASP calculation (GGA-PBE) on a geometry-optimized Ac2CoSe structure.

```
Ac2CoSe
1.0
-1.220 -0.827 -3.438
0.170 -3.647 0.817
-7.350 0.230 2.553
Co Se Ac
1 1 2
Direct
0.500 0.500 0.000
0.500 0.500 0.500
0.000 0.000 0.767
0.000 0.000 0.233
```

Output
symmetry	No. 123
ρ	9.02	g cm⁻³


Most favorable first, least favorable last: x), w), y)


w) VASP calculation (GGA-PBE) on a geometry-optimized AcCoSi2 structure.

```
AcCoSi2
1.0
4.168 0.000 0.000
0.000 7.118 0.000
0.000 0.000 10.598
Si Ac Co
8 4 4
Direct
0.250 0.386 0.934
0.750 0.686 0.678
0.250 0.314 0.322
0.250 0.814 0.178
0.250 0.886 0.566
0.750 0.114 0.434
0.750 0.614 0.066
0.750 0.186 0.822
0.750 0.156 0.122
0.750 0.656 0.378
0.250 0.344 0.622
0.250 0.844 0.878
0.250 0.996 0.358
0.750 0.504 0.858
0.750 0.004 0.642
0.250 0.496 0.142
```

Output
symmetry	No. 62
ρ	7.23	g cm⁻³


x) VASP calculation (GGA-PBE) on a geometry-optimized AcCoSi2 structure.

```
AcCoSi2
1.0
3.970 0.000 0.000
1.985 3.438 0.000
1.985 1.146 5.639
Si Co Ac
2 1 1
Direct
0.201 0.201 0.397
0.799 0.799 0.603
0.500 0.500 0.500
0.000 0.000 0.000
```

Output
symmetry	No. 166
ρ	7.38	g cm⁻³


y) VASP calculation (GGA-PBE) on a geometry-optimized AcCoSi2 structure.

```
AcCoSi2
1.0
-0.309 -2.049 -3.823
-2.450 -2.844 1.722
-5.686 6.174 -2.849
Si Ac Co
4 2 2
Direct
0.500 0.292 0.583
0.000 0.500 0.000
0.500 0.708 0.417
0.500 0.000 0.000
0.000 0.857 0.714
0.000 0.143 0.286
0.500 0.570 0.141
0.500 0.430 0.859
```

Output
symmetry	No. 65
ρ	7.34	g cm⁻³


Most favorable first, least favorable last: x), w), y)


w) VASP calculation (GGA-PBE) on a geometry-optimized AcSmCo structure.

```
AcSmCo
1.0
4.110 0.000 0.000
-2.055 3.559 0.000
0.000 0.000 6.495
Sm Co Ac
1 1 1
Direct
0.000 0.000 0.110
0.667 0.333 0.324
0.333 0.667 0.566
```

Output
symmetry	No. 156
ρ	7.62	g cm⁻³


x) VASP calculation (GGA-PBE) on a geometry-optimized AcSmCo structure.

```
AcSmCo
1.0
3.777 0.000 0.978
1.885 6.027 0.502
0.049 -0.447 7.593
Co Sm Ac
2 2 2
Direct
0.009 0.869 0.112
0.991 0.131 0.888
0.296 0.282 0.127
0.704 0.718 0.873
0.571 0.237 0.622
0.429 0.763 0.378
```

Output
symmetry	No. 12
ρ	8.40	g cm⁻³


Most favorable first, least favorable last: x), w)


w) VASP calculation (GGA-PBE) on a geometry-optimized AcSmCo structure.

```
AcSmCo
1.0
4.954 0.000 0.000
2.477 4.290 0.000
2.477 1.430 4.045
Co Sm Ac
1 1 1
Direct
0.250 0.250 0.250
0.500 0.500 0.500
0.000 0.000 0.000
```

Output
symmetry	No. 216
ρ	8.43	g cm⁻³


x) VASP calculation (GGA-PBE) on a geometry-optimized AcSmCo structure.

```
AcSmCo
1.0
6.975 0.000 0.000
0.000 6.460 0.779
0.000 1.368 7.568
Ac Sm Co
4 4 4
Direct
0.750 0.453 0.387
0.750 0.453 0.887
0.250 0.547 0.113
0.250 0.547 0.613
0.000 0.000 0.750
0.500 0.000 0.750
0.500 0.000 0.250
0.000 0.000 0.250
0.250 0.213 0.447
0.750 0.787 0.553
0.750 0.787 0.053
0.250 0.213 0.947
```

Output
symmetry	No. 11
ρ	8.69	g cm⁻³


Most favorable first, least favorable last: x), w)


w) VASP calculation (GGA-PBE) on a geometry-optimized AcSmCo structure.

```
AcSmCo
1.0
-1.629 3.104 -0.732
-0.417 -1.022 -3.407
-4.894 -3.782 3.615
Sm Co Ac
1 1 1
Direct
0.045 0.045 0.090
0.658 0.658 0.317
0.297 0.297 0.593
```

Output
symmetry	No. 107
ρ	8.43	g cm⁻³


x) VASP calculation (GGA-PBE) on a geometry-optimized AcSmCo structure.

```
AcSmCo
1.0
3.915 0.001 0.001
-0.001 7.023 -0.170
-0.002 1.127 6.514
Sm Co Ac
2 2 2
Direct
0.328 0.205 0.835
0.827 0.794 0.071
0.328 0.525 0.055
0.828 0.474 0.851
0.327 0.710 0.578
0.828 0.288 0.328
```

Output
symmetry	No. 11
ρ	8.05	g cm⁻³


Most favorable first, least favorable last: x), w)


w) VASP calculation (GGA-PBE) on a geometry-optimized AcSm3Co structure.

```
AcSm3Co
1.0
6.102 0.000 0.000
0.000 7.753 0.000
0.000 -3.877 6.715
Sm Ac Co
6 2 2
Direct
0.750 0.169 0.831
0.750 0.169 0.338
0.250 0.831 0.662
0.250 0.338 0.169
0.250 0.831 0.169
0.750 0.662 0.831
0.750 0.667 0.333
0.250 0.333 0.667
0.500 0.000 0.000
0.000 0.000 0.000
```

Output
symmetry	No. 194
ρ	7.70	g cm⁻³


x) VASP calculation (GGA-PBE) on a geometry-optimized AcSm3Co structure.

```
AcSm3Co
1.0
-0.624 0.227 -5.440
4.334 -3.294 -0.634
-3.296 -4.375 0.196
Sm Co Ac
3 1 1
Direct
0.000 0.000 0.500
0.500 0.000 0.000
0.000 0.500 0.000
0.000 0.000 0.000
0.500 0.500 0.500
```

Output
symmetry	No. 221
ρ	7.43	g cm⁻³


Most favorable first, least favorable last: w), x)